SnMoO2F: relaxed, GGA+U.

Values from the calculation:
* size of the total moment: 2.95 μB per cell
* electronic total energy: -5.965 eV per atom
* SG: No. 123
* calculated density: 5.95 Mg/m³

```
SnMoO2F
1.0
4.2272 0.0000 0.0000
0.0000 4.2272 0.0000
0.0000 0.0000 4.1467
Sn Mo O F
1 1 2 1
Direct
0.0000 0.0000 0.0000 Sn
0.5000 0.5000 0.5000 Mo
0.0000 0.5000 0.5000 O
0.5000 0.0000 0.5000 O
0.5000 0.5000 0.0000 F
```